Density functional theory data (PBE) for crystalline ReIrPb2 at its relaxed geometry.

* energy of formation from the pure elements: 1.085 eV per atom
* theoretical density: 16.3 Mg/m³
* offset from the most stable computed form: 0.736 eV/atom
* D(E_F): 3.12 states/eV/cell

POSCAR file:
```
ReIrPb2
1.0
0.000 3.433 3.433
3.433 0.000 3.433
3.433 3.433 0.000
Re Ir Pb
1 1 2
Direct
0.000 0.000 0.000
0.750 0.750 0.750
0.250 0.250 0.250
0.500 0.500 0.500
```